Record 1
The following is a GGA-PBE calculation of a relaxed HgTe2Os crystal, from the Alexandria database.

Values from the calculation:
- formation energy from raw total energies (kJ/mol of formula units) = 146
- spin magnetization (μB per formula unit) = 0.00
- DOS(E_F) (states/eV per atom) = 0.91
- V (Å³ per atom) = 32.3

abc: 7.295 7.295 7.295
angles: 123.47 123.47 84.09
Fractional coordinates of all 8 atoms:
Hg: 0.000 0.000 0.000
Hg: 0.750 0.250 0.500
Te: 0.190 0.625 0.065
Te: 0.375 0.440 0.565
Te: 0.560 0.125 0.935
Te: 0.875 0.810 0.435
Os: 0.250 0.750 0.500
Os: 0.500 0.500 0.000

Record 2
The following is a GGA-PBE calculation of a relaxed HgTe2Os crystal, from the Alexandria database.

Values from the calculation:
- formation energy from raw total energies (kJ/mol of formula units) = 169
- spin magnetization (μB per formula unit) = 0.28
- DOS(E_F) (states/eV per atom) = 0.78
- V (Å³ per atom) = 25.3

abc: 10.518 10.518 10.518
angles: 18.40 18.40 18.40
Fractional coordinates of all 4 atoms:
Hg: 0.000 0.000 0.000
Te: 0.241 0.241 0.241
Te: 0.458 0.458 0.458
Os: 0.736 0.736 0.736

Record 3
The following is a GGA-PBE calculation of a relaxed Hg2TeOs crystal, from the Alexandria database.

Values from the calculation:
- formation energy from raw total energies (kJ/mol of formula units) = 307
- spin magnetization (μB per formula unit) = 0.85
- DOS(E_F) (states/eV per atom) = 0.59
- V (Å³ per atom) = 22.3

abc: 11.345 11.345 11.345
angles: 15.36 15.36 15.36
Fractional coordinates of all 4 atoms:
Hg: 0.236 0.236 0.236
Hg: 0.764 0.764 0.764
Te: 0.000 0.000 0.000
Os: 0.500 0.500 0.500

Record 4
The following is a GGA-PBE calculation of a relaxed HgTe4Os crystal, from the Alexandria database.

Values from the calculation:
- formation energy from raw total energies (kJ/mol of formula units) = 737
- spin magnetization (μB per formula unit) = 4.05
- DOS(E_F) (states/eV per atom) = 1.44
- V (Å³ per atom) = 29.4

abc: 6.296 6.296 6.296
angles: 60.00 60.00 60.00
Fractional coordinates of all 6 atoms:
Hg: 0.000 0.000 0.000
Te: 0.376 0.376 0.376
Te: 0.376 0.376 0.872
Te: 0.376 0.872 0.376
Te: 0.872 0.376 0.376
Os: 0.750 0.750 0.750